[1]
4
Lattice="4.7935 0.0000 0.0000 0.0000 3.2794 -0.0933 0.0000 3.5428 7.1680" Properties=species:S:1:pos:R:3 comment="KBaRh2, relaxed, DFT PBE" polymorph_energy_mev_per_atom=398 formation_energy_mev_per_atom=509 pbc="T T T"
Rh 0.0000 3.3073 0.4313
Rh 0.0000 3.3832 3.0128
K 2.3968 5.1167 5.3060
Ba 2.3968 1.7056 1.7687

***

[2]
16
Lattice="-1.7105 4.2687 1.9220 -4.7665 0.3292 -4.9732 -6.3402 -5.1239 5.7376" Properties=species:S:1:pos:R:3 comment="CaHo3Pd4, relaxed, DFT PBE" formation_energy_mev_per_atom=-858 pbc="T T T"
Pd -4.4356 3.0636 2.1643
Pd -5.1657 -0.3488 2.6400
Pd -6.9197 3.2351 -0.4275
Pd -7.6515 -0.1772 0.0464
Pd -4.4814 2.3848 -2.8224
Pd -1.9956 2.2131 -0.2288
Pd -8.3817 -3.5896 0.5220
Pd -5.8975 -3.7611 3.1138
Ho -4.8232 1.0170 -0.0917
Ho 0.0000 0.0000 0.0000
Ho -5.6112 -1.7066 5.2650
Ho -3.1701 -2.5619 2.8688
Ho -2.4395 0.8514 2.3945
Ho -7.9940 -1.5430 2.7780
Ca -2.3833 0.1646 -2.4866
Ca -5.5534 -2.3974 0.3822